Pu2InGe3Pt4 | PBE | relaxed

Geometry as CIF:
```
data_Pu2InGe3Pt4
_space_group_name_H-M_alt 'P -4 m 2'
_space_group_IT_number 115
_space_group_name_Hall 'P -4 -2'
_cell_length_a 4.2347
_cell_length_b 4.2347
_cell_length_c 11.0382
_cell_angle_alpha 90.00
_cell_angle_beta 90.00
_cell_angle_gamma 90.00
loop_
_atom_site_label
_atom_site_type_symbol
_atom_site_fract_x
_atom_site_fract_y
_atom_site_fract_z
_atom_site_occupancy
Pu1 Pu 0.0000 0.5000 0.2408 1
In1 In 0.0000 0.0000 0.5000 1
Ge1 Ge 0.0000 0.5000 0.8714 1
Ge2 Ge 0.5000 0.5000 0.5000 1
Pt1 Pt 0.0000 0.0000 0.0000 1
Pt2 Pt 0.0000 0.5000 0.6509 1
Pt3 Pt 0.5000 0.5000 0.0000 1
```

Output
The value obtained for the magnetic moment is 11.0 μB per cell. The energy of formation is -0.647 eV per atom. For the total energy, the calculation gives -7.589 eV per atom. The calculation puts the calculated volume at 19.794 Å³/atom.



Pu4InGe2Pt | PBE | relaxed

Geometry as CIF:
```
data_Pu4InGe2Pt
_space_group_name_H-M_alt 'R -3 m'
_space_group_IT_number 166
_space_group_name_Hall '-R 3 2"'
_cell_length_a 5.1467
_cell_length_b 5.1467
_cell_length_c 24.9068
_cell_angle_alpha 90.00
_cell_angle_beta 90.00
_cell_angle_gamma 120.00
loop_
_atom_site_label
_atom_site_type_symbol
_atom_site_fract_x
_atom_site_fract_y
_atom_site_fract_z
_atom_site_occupancy
Pu1 Pu 0.0000 0.0000 0.1138 1
Pu2 Pu 0.0000 0.0000 0.3627 1
In1 In 0.0000 0.0000 0.5000 1
Ge1 Ge 0.0000 0.0000 0.2413 1
Pt1 Pt 0.0000 0.0000 0.0000 1
```

Output
The value obtained for the magnetic moment is 0.7 μB per cell. The energy of formation is -0.364 eV per atom. For the total energy, the calculation gives -9.782 eV per atom. The calculation puts the calculated volume at 23.806 Å³/atom.



RbInGePt | PBE | relaxed

Geometry as CIF:
```
data_RbInGePt
_space_group_name_H-M_alt 'R 3 m'
_space_group_IT_number 160
_space_group_name_Hall 'R 3 -2"'
_cell_length_a 4.3491
_cell_length_b 4.3491
_cell_length_c 21.4036
_cell_angle_alpha 90.00
_cell_angle_beta 90.00
_cell_angle_gamma 120.00
loop_
_atom_site_label
_atom_site_type_symbol
_atom_site_fract_x
_atom_site_fract_y
_atom_site_fract_z
_atom_site_occupancy
Rb1 Rb 0.0000 0.0000 0.0000 1
In1 In 0.0000 0.0000 0.7993 1
Ge1 Ge 0.0000 0.0000 0.5475 1
Pt1 Pt 0.0000 0.0000 0.1948 1
```

Output
The value obtained for the magnetic moment is 0.0 μB per cell. The energy of formation is -0.293 eV per atom. For the total energy, the calculation gives -3.884 eV per atom. The calculation puts the calculated volume at 29.216 Å³/atom.



In2GePtS | PBE | relaxed

Geometry as CIF:
```
data_In2GePtS
_space_group_name_H-M_alt 'P 4/m m m'
_space_group_IT_number 123
_space_group_name_Hall '-P 4 2'
_cell_length_a 5.3467
_cell_length_b 5.3467
_cell_length_c 4.5057
_cell_angle_alpha 90.00
_cell_angle_beta 90.00
_cell_angle_gamma 90.00
loop_
_atom_site_label
_atom_site_type_symbol
_atom_site_fract_x
_atom_site_fract_y
_atom_site_fract_z
_atom_site_occupancy
In1 In 0.0000 0.5000 0.0000 1
Ge1 Ge 0.0000 0.0000 0.0000 1
Pt1 Pt 0.5000 0.5000 0.5000 1
S1 S 0.0000 0.0000 0.5000 1
```

Output
The value obtained for the magnetic moment is 0.0 μB per cell. As for the raw formation energy: 635 meV per atom. For the total energy, the calculation gives -3.417 eV per atom. The calculation puts the calculated volume at 25.762 Å³/atom.



Sm2InGePt6 | PBE | relaxed

Geometry as CIF:
```
data_Sm2InGePt6
_space_group_name_H-M_alt 'P -1'
_space_group_IT_number 2
_space_group_name_Hall '-P 1'
_cell_length_a 5.6429
_cell_length_b 5.6435
_cell_length_c 8.9065
_cell_angle_alpha 71.91
_cell_angle_beta 72.02
_cell_angle_gamma 60.06
loop_
_atom_site_label
_atom_site_type_symbol
_atom_site_fract_x
_atom_site_fract_y
_atom_site_fract_z
_atom_site_occupancy
Sm1 Sm 0.2013 0.2018 0.3933 1
In1 In 0.0000 0.0000 0.0000 1
Ge1 Ge 0.5000 0.5000 0.5000 1
Pt1 Pt 0.2347 0.7438 0.2744 1
Pt2 Pt 0.2567 0.2557 0.7260 1
Pt3 Pt 0.2569 0.7649 0.7256 1
```

Output
The value obtained for the magnetic moment is 0.0 μB per cell. The energy of formation is -0.746 eV per atom. For the total energy, the calculation gives -6.050 eV per atom. The calculation puts the calculated volume at 22.954 Å³/atom.



Sm2InGe3Pt4 | PBE | relaxed

Geometry as CIF:
```
data_Sm2InGe3Pt4
_space_group_name_H-M_alt 'P -4 m 2'
_space_group_IT_number 115
_space_group_name_Hall 'P -4 -2'
_cell_length_a 4.3580
_cell_length_b 4.3580
_cell_length_c 10.5034
_cell_angle_alpha 90.00
_cell_angle_beta 90.00
_cell_angle_gamma 90.00
loop_
_atom_site_label
_atom_site_type_symbol
_atom_site_fract_x
_atom_site_fract_y
_atom_site_fract_z
_atom_site_occupancy
Sm1 Sm 0.0000 0.5000 0.2415 1
In1 In 0.0000 0.0000 0.5000 1
Ge1 Ge 0.0000 0.5000 0.8760 1
Ge2 Ge 0.5000 0.5000 0.5000 1
Pt1 Pt 0.0000 0.0000 0.0000 1
Pt2 Pt 0.0000 0.5000 0.6454 1
Pt3 Pt 0.5000 0.5000 0.0000 1
```

Output
The value obtained for the magnetic moment is 0.0 μB per cell. The energy of formation is -0.868 eV per atom. For the total energy, the calculation gives -5.887 eV per atom. The calculation puts the calculated volume at 19.948 Å³/atom.



Sr2InGe4Pt3 | PBE | relaxed

Geometry as CIF:
```
data_Sr2InGe4Pt3
_space_group_name_H-M_alt 'P -4 m 2'
_space_group_IT_number 115
_space_group_name_Hall 'P -4 -2'
_cell_length_a 4.4167
_cell_length_b 4.4167
_cell_length_c 10.8369
_cell_angle_alpha 90.00
_cell_angle_beta 90.00
_cell_angle_gamma 90.00
loop_
_atom_site_label
_atom_site_type_symbol
_atom_site_fract_x
_atom_site_fract_y
_atom_site_fract_z
_atom_site_occupancy
Sr1 Sr 0.0000 0.5000 0.2425 1
In1 In 0.0000 0.0000 0.5000 1
Ge1 Ge 0.0000 0.0000 0.0000 1
Ge2 Ge 0.0000 0.5000 0.6508 1
Ge3 Ge 0.5000 0.5000 0.0000 1
Pt1 Pt 0.0000 0.5000 0.8827 1
Pt2 Pt 0.5000 0.5000 0.5000 1
```

Output
The value obtained for the magnetic moment is 0.0 μB per cell. The energy of formation is -0.688 eV per atom. For the total energy, the calculation gives -4.958 eV per atom. The calculation puts the calculated volume at 21.140 Å³/atom.



SrInGePt3 | PBE | relaxed

Geometry as CIF:
```
data_SrInGePt3
_space_group_name_H-M_alt 'C m c m'
_space_group_IT_number 63
_space_group_name_Hall '-C 2c 2'
_cell_length_a 5.8270
_cell_length_b 16.5796
_cell_length_c 5.8626
_cell_angle_alpha 90.00
_cell_angle_beta 90.00
_cell_angle_gamma 90.00
loop_
_atom_site_label
_atom_site_type_symbol
_atom_site_fract_x
_atom_site_fract_y
_atom_site_fract_z
_atom_site_occupancy
Sr1 Sr 0.0000 0.2191 0.2500 1
In1 In 0.0000 0.1098 0.7500 1
Ge1 Ge 0.0000 0.4157 0.7500 1
Pt1 Pt 0.0000 0.2696 0.7500 1
Pt2 Pt 0.2469 0.0000 0.0000 1
```

Output
The value obtained for the magnetic moment is 0.0 μB per cell. The energy of formation is -0.589 eV per atom. For the total energy, the calculation gives -5.116 eV per atom. The calculation puts the calculated volume at 23.599 Å³/atom.



Sr2InGePt6 | PBE | relaxed

Geometry as CIF:
```
data_Sr2InGePt6
_space_group_name_H-M_alt 'P -1'
_space_group_IT_number 2
_space_group_name_Hall '-P 1'
_cell_length_a 5.6092
_cell_length_b 6.7649
_cell_length_c 7.1047
_cell_angle_alpha 83.41
_cell_angle_beta 66.76
_cell_angle_gamma 65.57
loop_
_atom_site_label
_atom_site_type_symbol
_atom_site_fract_x
_atom_site_fract_y
_atom_site_fract_z
_atom_site_occupancy
Sr1 Sr 0.0418 0.2115 0.2043 1
In1 In 0.5000 0.5000 0.0000 1
Ge1 Ge 0.5000 0.0000 0.5000 1
Pt1 Pt 0.0117 0.2509 0.7186 1
Pt2 Pt 0.3520 0.3963 0.3983 1
Pt3 Pt 0.4818 0.7486 0.2815 1
```

Output
The value obtained for the magnetic moment is 0.0 μB per cell. The energy of formation is -0.631 eV per atom. For the total energy, the calculation gives -5.328 eV per atom. The calculation puts the calculated volume at 22.516 Å³/atom.



Sr2InGe3Pt4 | PBE | relaxed

Geometry as CIF:
```
data_Sr2InGe3Pt4
_space_group_name_H-M_alt 'P -4 m 2'
_space_group_IT_number 115
_space_group_name_Hall 'P -4 -2'
_cell_length_a 4.4693
_cell_length_b 4.4693
_cell_length_c 10.5183
_cell_angle_alpha 90.00
_cell_angle_beta 90.00
_cell_angle_gamma 90.00
loop_
_atom_site_label
_atom_site_type_symbol
_atom_site_fract_x
_atom_site_fract_y
_atom_site_fract_z
_atom_site_occupancy
Sr1 Sr 0.0000 0.5000 0.2435 1
In1 In 0.0000 0.0000 0.5000 1
Ge1 Ge 0.0000 0.5000 0.8796 1
Ge2 Ge 0.5000 0.5000 0.5000 1
Pt1 Pt 0.0000 0.0000 0.0000 1
Pt2 Pt 0.0000 0.5000 0.6422 1
Pt3 Pt 0.5000 0.5000 0.0000 1
```

Output
The value obtained for the magnetic moment is 0.0 μB per cell. The energy of formation is -0.772 eV per atom. For the total energy, the calculation gives -5.184 eV per atom. The calculation puts the calculated volume at 21.010 Å³/atom.



Sr2In3GePt4 | PBE | relaxed

Geometry as CIF:
```
data_Sr2In3GePt4
_space_group_name_H-M_alt 'P -4 m 2'
_space_group_IT_number 115
_space_group_name_Hall 'P -4 -2'
_cell_length_a 4.7414
_cell_length_b 4.7414
_cell_length_c 10.3222
_cell_angle_alpha 90.00
_cell_angle_beta 90.00
_cell_angle_gamma 90.00
loop_
_atom_site_label
_atom_site_type_symbol
_atom_site_fract_x
_atom_site_fract_y
_atom_site_fract_z
_atom_site_occupancy
Sr1 Sr 0.0000 0.5000 0.2426 1
In1 In 0.0000 0.5000 0.8732 1
In2 In 0.5000 0.5000 0.5000 1
Ge1 Ge 0.0000 0.0000 0.5000 1
Pt1 Pt 0.0000 0.0000 0.0000 1
Pt2 Pt 0.0000 0.5000 0.6144 1
Pt3 Pt 0.5000 0.5000 0.0000 1
```

Output
The value obtained for the magnetic moment is 0.0 μB per cell. The energy of formation is -0.683 eV per atom. For the total energy, the calculation gives -4.719 eV per atom. The calculation puts the calculated volume at 23.205 Å³/atom.



TbIn2Ge2Pt7 | PBE | relaxed

Geometry as CIF:
```
data_TbIn2Ge2Pt7
_space_group_name_H-M_alt 'C 1 2/m 1'
_space_group_IT_number 12
_space_group_name_Hall '-C 2y'
_cell_length_a 5.6649
_cell_length_b 5.6792
_cell_length_c 14.6413
_cell_angle_alpha 90.00
_cell_angle_beta 97.83
_cell_angle_gamma 90.00
loop_
_atom_site_label
_atom_site_type_symbol
_atom_site_fract_x
_atom_site_fract_y
_atom_site_fract_z
_atom_site_occupancy
Tb1 Tb 0.0000 0.0000 0.0000 1
In1 In 0.1089 0.0000 0.4027 1
Ge1 Ge 0.0891 0.5000 0.2530 1
Pt1 Pt 0.0000 0.5000 0.0000 1
Pt2 Pt 0.1171 0.5000 0.4202 1
Pt3 Pt 0.1970 0.2500 0.8492 1
```

Output
The value obtained for the magnetic moment is 0.0 μB per cell. The energy of formation is -0.596 eV per atom. For the total energy, the calculation gives -5.732 eV per atom. The calculation puts the calculated volume at 19.444 Å³/atom.